VASP calculation (PBE+U) on Co2PdO3 after structural relaxation.

Structure (POSCAR):
```
Co2PdO3
1.0
4.910 -2.206 0.000
4.910 2.206 0.000
-1.931 0.000 5.864
Co Pd O
4 2 6
direct
0.164 0.165 0.082
0.165 0.164 0.582
0.835 0.836 0.418
0.836 0.835 0.918
0.500 0.500 0.250
0.500 0.500 0.750
0.000 0.000 0.250
0.000 0.000 0.750
0.316 0.317 0.408
0.317 0.316 0.908
0.683 0.684 0.092
0.684 0.683 0.592
```

Calculated values
- DOS(E_F) (states/eV/cell) = 2.846
- calculated total energy (eV for the cell shown) = -67.7
- theoretical density (g/cm³) = 7.1